# 1
GGA-PBE La3GeCl2, optimized geometry; E_form (uncorrected) = -1.4318 eV/atom; SG = C2/m, No. 12; calculated total energy = -5.28 eV per atom
1.0
6.595 -0.330 3.419
2.494 6.748 1.293
0.324 -0.165 7.444
La Ge Cl
6 2 4
Direct
0.749 0.752 0.000
0.251 0.248 0.000
0.080 0.758 0.335
0.585 0.242 0.335
0.920 0.242 0.665
0.415 0.758 0.665
0.335 0.000 0.330
0.665 0.000 0.670
0.500 0.500 0.000
0.826 0.500 0.349
0.174 0.500 0.651
0.000 0.000 0.000


# 2
GGA-PBE CaBeAs2Se, optimized geometry; E_form (uncorrected) = -0.2525 eV/atom; SG = P4/mmm, No. 123; calculated total energy = -3.95 eV per atom
1.0
4.351 0.000 0.000
0.000 4.351 0.000
0.000 0.000 5.762
Ca Be As Se
1 1 2 1
Direct
0.500 0.500 0.500
0.000 0.000 0.000
0.500 0.000 0.000
0.000 0.500 0.000
0.000 0.000 0.500


# 3
GGA-PBE CaH6CBr3N3, optimized geometry; SG = P2_1/c, No. 14; calculated total energy = -5.15 eV per atom
1.0
-2.863 -3.959 7.738
7.062 -0.638 2.286
1.907 18.053 -0.851
Br H N C Ca
12 24 12 4 4
Direct
0.358 0.708 0.107
0.641 0.211 0.178
0.217 0.211 0.178
0.359 0.789 0.822
0.783 0.789 0.822
0.359 0.711 0.322
0.641 0.289 0.678
0.358 0.792 0.607
0.642 0.208 0.393
0.217 0.289 0.678
0.642 0.292 0.893
0.783 0.711 0.322
0.599 0.744 0.478
0.401 0.233 0.427
0.599 0.756 0.978
0.048 0.767 0.573
0.599 0.733 0.073
0.401 0.267 0.927
0.048 0.709 0.203
0.599 0.767 0.573
0.401 0.244 0.022
0.141 0.245 0.022
0.401 0.256 0.522
0.141 0.255 0.522
0.048 0.733 0.073
0.859 0.790 0.703
0.952 0.267 0.927
0.952 0.233 0.427
0.859 0.745 0.478
0.141 0.290 0.797
0.952 0.291 0.797
0.859 0.710 0.203
0.048 0.791 0.703
0.952 0.209 0.297
0.859 0.755 0.978
0.141 0.210 0.297
0.920 0.757 0.542
0.081 0.210 0.331
0.080 0.243 0.458
0.920 0.743 0.042
0.334 0.244 0.458
0.919 0.710 0.169
0.666 0.744 0.042
0.081 0.290 0.831
0.334 0.256 0.958
0.080 0.257 0.958
0.919 0.790 0.669
0.666 0.756 0.542
0.165 0.232 0.415
0.835 0.732 0.085
0.165 0.268 0.915
0.835 0.768 0.585
0.499 0.960 0.249
0.501 0.460 0.251
0.501 0.040 0.751
0.499 0.540 0.749